The following is a DFT calculation (GGA-PBE) of Ta3NbW2 after structural relaxation.

The structure belongs to space group P4/mmm (No. 123); the cell edges are 3.259, 3.259 and 9.840 Å and the angles 90.00°, 90.00° and 90.00°. The distinct sites, in fractional coordinates, are Ta at (0.000, 0.000, 0.000), Ta at (0.000, 0.000, 0.326), Nb at (0.500, 0.500, 0.500) and W at (0.500, 0.500, 0.166).

The calculation puts the total energy at -11.99 eV per atom. The value obtained for the density of states at the Fermi level is 5.83 states/eV per cell.